Material: SmAl2InAu4
Method: DFT, PBE
State: optimized geometry

The space group is R-3m (No. 166, hexagonal axes) and the conventional cell measures 4.4043, 4.4043 and 29.3638 Å, with angles of 90.00, 90.00 and 120.00 degrees. The distinct sites, in fractional coordinates, are Sm at (0.0000, 0.0000, 0.0000), Al at (0.0000, 0.0000, 0.2496), In at (0.0000, 0.0000, 0.5000), Au at (0.0000, 0.0000, 0.1167) and Au at (0.0000, 0.0000, 0.3935).

The energy of formation comes out at -0.50 eV per atom. The value obtained for the density of states at the Fermi level is 0.316 states/eV per atom.

=====

Material: SmTm2CrN4
Method: DFT, PBE
State: optimized geometry

The space group is Cmcm (No. 63) and the conventional cell measures 3.361, 11.405 and 11.459 Å, with angles of 90.00, 90.00 and 90.00 degrees. The distinct sites, in fractional coordinates, are Sm at (0.000, 0.099, 0.250), Tm at (0.000, 0.369, 0.043), Cr at (0.000, 0.164, 0.750), N at (0.000, 0.000, 0.000), N at (0.000, 0.265, 0.626) and N at (0.000, 0.427, 0.250).

For the energy relative to the elements, uncorrected, the calculation gives -1.31 eV per atom. The value obtained for the density of states at the Fermi level is 0.426 states/eV per atom.

=====

no.,total moment (μB/f.u.)
1,0.0
2,1.7